# RbPb2I PBE-GGA optimized geometry
# * symmetry: I-42d (122)
# * magnetization: 0.000 Bohr magnetons per cell
# * final energy: -2.5336 eV per atom
# * raw formation energy: -4.83 kJ/mol of atoms
data_RbPb2I
_chemical_formula_sum 'Rb2 Pb4 I2'
_space_group_name_H-M_alt 'P 1'
_space_group_IT_number 1
_cell_length_a 8.002
_cell_length_b 8.002
_cell_length_c 8.002
_cell_angle_alpha 99.80
_cell_angle_beta 99.80
_cell_angle_gamma 131.27
loop_
_space_group_symop_operation_xyz
'x,y,z'
loop_
_atom_site_label
_atom_site_type_symbol
_atom_site_fract_x
_atom_site_fract_y
_atom_site_fract_z
_atom_site_occupancy
Rb1 Rb 0.000 0.000 0.000 1
Rb2 Rb 0.750 0.250 0.500 1
Pb1 Pb 0.163 0.625 0.038 1
Pb2 Pb 0.375 0.413 0.538 1
Pb3 Pb 0.587 0.125 0.962 1
Pb4 Pb 0.875 0.837 0.462 1
I1 I 0.250 0.750 0.500 1
I2 I 0.500 0.500 0.000 1